1.
Computed, not measured: a geometry-optimized InNiPd6 structure at the PBE level of DFT.

- Offset from the most stable computed form: 0 meV per atom

CIF file:
```
data_InNiPd6
_chemical_formula_sum 'In1 Ni1 Pd6'
_symmetry_space_group_name_H-M 'P 1'
_symmetry_Int_Tables_number 1
_cell_length_a 3.9680
_cell_length_b 3.9680
_cell_length_c 7.8669
_cell_angle_alpha 90.00
_cell_angle_beta 90.00
_cell_angle_gamma 90.00
loop_
_symmetry_equiv_pos_as_xyz
'x,y,z'
loop_
_atom_site_label
_atom_site_type_symbol
_atom_site_fract_x
_atom_site_fract_y
_atom_site_fract_z
In1 In 0.0000 0.0000 0.0000
Ni1 Ni 0.0000 0.0000 0.5000
Pd1 Pd 0.0000 0.5000 0.2616
Pd2 Pd 0.0000 0.5000 0.7384
Pd3 Pd 0.5000 0.0000 0.2616
Pd4 Pd 0.5000 0.0000 0.7384
Pd5 Pd 0.5000 0.5000 0.0000
Pd6 Pd 0.5000 0.5000 0.5000
```

2.
Computed, not measured: a geometry-optimized Mg2CoGe2 structure at the PBE level of DFT.

CIF file:
```
data_Mg2CoGe2
_chemical_formula_sum 'Mg4 Co2 Ge4'
_symmetry_space_group_name_H-M 'P 1'
_symmetry_Int_Tables_number 1
_cell_length_a 6.2778
_cell_length_b 6.2778
_cell_length_c 4.2389
_cell_angle_alpha 90.00
_cell_angle_beta 90.00
_cell_angle_gamma 90.00
loop_
_symmetry_equiv_pos_as_xyz
'x,y,z'
loop_
_atom_site_label
_atom_site_type_symbol
_atom_site_fract_x
_atom_site_fract_y
_atom_site_fract_z
Mg1 Mg 0.1740 0.3260 0.0000
Mg2 Mg 0.3260 0.8260 0.0000
Mg3 Mg 0.6740 0.1740 0.0000
Mg4 Mg 0.8260 0.6740 0.0000
Co1 Co 0.0000 0.0000 0.5000
Co2 Co 0.5000 0.5000 0.5000
Ge1 Ge 0.1435 0.6435 0.5000
Ge2 Ge 0.3565 0.1435 0.5000
Ge3 Ge 0.6435 0.8565 0.5000
Ge4 Ge 0.8565 0.3565 0.5000
```

Number 1: total DFT energy (no corrections) -5.14 eV per atom. Number 2: total DFT energy (no corrections) -4.08 eV per atom.